DFT (meta-GGA SCAN) results for LaZn3Re at its PBEsol-relaxed geometry.

Computed properties:
As for the symmetry: Pm-3m (221). Its density of states at the Fermi level is 4.09 states/eV/f.u. The total moment is 3.1 Bohr magnetons per cell. For the formation energy, the calculation gives 2.19 eV/atom.

abc: 5.269 5.269 5.269
angles: 90.00 90.00 90.00
Last column: magnetic moment on the atom in μB.
Element x y z (fractional)
Re 0.500 0.500 0.500  -3.51
Zn 0.000 0.500 0.000  0.08
Zn 0.000 0.000 0.500  0.08
Zn 0.500 0.000 0.000  0.08
La 0.000 0.000 0.000  0.47